Entry 1:
# Dy8TmMg2, optimized geometry, DFT PBE
data_Dy8TmMg2
_cell_length_a 16.465
_cell_length_b 5.319
_cell_length_c 8.380
_cell_angle_alpha 90.00
_cell_angle_beta 115.91
_cell_angle_gamma 90.00
_space_group_name_H-M_alt 'C 1 2/m 1'
_space_group_IT_number 12
_space_group_name_Hall '-C 2y'
loop_
_atom_site_label
_atom_site_type_symbol
_atom_site_fract_x
_atom_site_fract_y
_atom_site_fract_z
Dy1 Dy 0.057 0.000 0.235
Dy2 Dy 0.100 0.500 0.969
Dy3 Dy 0.146 0.000 0.700
Dy4 Dy 0.188 0.500 0.452
Tm1 Tm 0.000 0.500 0.500
Mg1 Mg 0.227 0.000 0.127
# Final energy in eV per cell: -88.6
# Distance to the lowest polymorph of the same formula in eV/f.u.: 0.000
# Crystal system: monoclinic
# Calculated formation energy in meV/atom: 16.0

Entry 2:
# Dy4TmMg7, optimized geometry, DFT PBE
data_Dy4TmMg7
_cell_length_a 5.2845
_cell_length_b 5.2845
_cell_length_c 13.1921
_cell_angle_alpha 90.00
_cell_angle_beta 90.00
_cell_angle_gamma 120.00
_space_group_name_H-M_alt 'P -3 m 1'
_space_group_IT_number 164
_space_group_name_Hall '-P 3 2"'
loop_
_atom_site_label
_atom_site_type_symbol
_atom_site_fract_x
_atom_site_fract_y
_atom_site_fract_z
Dy1 Dy 0.3333 0.6667 0.1596
Dy2 Dy 0.3333 0.6667 0.4204
Tm1 Tm 0.0000 0.0000 0.0000
Mg1 Mg 0.0000 0.0000 0.2608
Mg2 Mg 0.0000 0.0000 0.5000
Mg3 Mg 0.3333 0.6667 0.6822
Mg4 Mg 0.3333 0.6667 0.9171
# Final energy in eV per cell: -34.3
# Distance to the lowest polymorph of the same formula in eV/f.u.: 0.000
# Crystal system: trigonal
# Calculated formation energy in meV/atom: -22.5

Entry 3:
# DyTmMg3, optimized geometry, DFT PBE
data_DyTmMg3
_cell_length_a 6.1791
_cell_length_b 6.1791
_cell_length_c 24.4924
_cell_angle_alpha 90.00
_cell_angle_beta 90.00
_cell_angle_gamma 120.00
_space_group_name_H-M_alt 'R -3 m'
_space_group_IT_number 166
_space_group_name_Hall '-R 3 2"'
loop_
_atom_site_label
_atom_site_type_symbol
_atom_site_fract_x
_atom_site_fract_y
_atom_site_fract_z
Dy1 Dy 0.0000 0.0000 0.0675
Tm1 Tm 0.0000 0.0000 0.3349
Mg1 Mg 0.0068 0.5034 0.8824
# Final energy in eV per cell: -82.3
# Distance to the lowest polymorph of the same formula in eV/f.u.: 0.377
# Crystal system: trigonal
# Calculated formation energy in meV/atom: 27.1